1.
PBE NbTcNi, optimized geometry; formation energy = -0.09 eV per formula unit; M_tot = 0.00 μB/cell; E = -26.305 eV/f.u.; offset from the most stable computed form = 122 meV/atom
1.0
0.000 2.068 6.158
1.712 0.000 6.158
1.712 2.068 0.000
Nb Tc Ni
1 1 1
direct
0.000 0.000 0.000
0.316 0.316 0.684
0.665 0.665 0.335

---

2.
PBE TlRu2Pt, optimized geometry; formation energy = 1.41 eV per formula unit; M_tot = 0.00 μB/cell; E = -25.548 eV/f.u.; offset from the most stable computed form = 93 meV/atom
1.0
4.626 -1.458 0.000
4.626 1.458 0.000
-0.817 0.000 4.869
Tl Ru Pt
1 2 1
direct
0.000 0.000 0.000
0.494 0.494 0.485
0.758 0.758 0.296
0.243 0.243 0.749

---

3.
PBE Th2MgGa, optimized geometry; formation energy = 0.55 eV per formula unit; M_tot = 0.00 μB/cell; E = -18.915 eV/f.u.
1.0
1.671 0.965 11.795
-1.671 0.965 11.795
0.000 -1.929 11.795
Th Mg Ga
2 1 1
direct
0.095 0.095 0.095
0.905 0.905 0.905
0.000 0.000 0.000
0.500 0.500 0.500

---

4.
PBE BaCdMo4, optimized geometry; formation energy = 5.06 eV per formula unit; M_tot = 0.00 μB/cell; E = -41.101 eV/f.u.
1.0
0.000 3.940 3.940
3.940 0.000 3.940
3.940 3.940 0.000
Ba Cd Mo
1 1 4
direct
0.000 0.000 0.000
0.750 0.750 0.750
0.374 0.374 0.374
0.374 0.374 0.878
0.374 0.878 0.374
0.878 0.374 0.374